Pm4Te2AsN (PBE, relaxed); symmetry = P2/m (10); V = 26.38 Å³/atom; ΔE_f (raw) = -1.3857 eV per atom
1.0
4.105 0.000 0.000
0.000 7.145 0.125
0.000 -2.506 7.149
Pm N As Te
4 1 1 2
Cartesian
2.053 1.394 1.481
0.000 0.049 5.774
2.053 3.245 5.794
0.000 4.591 1.500
2.053 3.573 0.062
0.000 0.000 0.000
0.000 2.320 3.637
2.053 -1.253 3.575

PmZnAsN (PBE, relaxed); symmetry = P6_3mc (186); V = 20.34 Å³/atom; ΔE_f (raw) = -0.6808 eV per atom
1.0
3.830 0.000 0.000
-1.915 3.317 0.000
0.000 0.000 12.805
N Zn As Pm
2 2 2 2
Cartesian
0.000 0.000 8.520
0.000 0.000 2.118
0.000 0.000 0.185
0.000 0.000 6.588
0.000 2.211 11.688
1.915 1.106 5.286
0.000 2.211 2.813
1.915 1.106 9.216

Pr2AsN4 (PBE, relaxed); symmetry = Pnma (62); V = 14.89 Å³/atom; ΔE_f (raw) = -0.5088 eV per atom
1.0
5.627 0.000 0.000
0.000 7.241 0.000
0.000 0.000 10.230
N Pr As
16 8 4
Cartesian
1.407 3.371 4.396
5.582 2.271 1.539
0.045 1.349 6.654
2.859 5.892 3.576
1.407 5.921 6.016
2.768 4.970 8.691
0.045 4.970 8.691
4.221 0.249 9.511
2.768 1.349 6.654
4.221 3.869 5.834
1.407 6.992 0.719
2.859 2.271 1.539
1.407 2.301 9.329
5.582 5.892 3.576
4.221 1.319 4.214
4.221 4.940 0.901
4.221 2.593 9.574
1.407 3.602 7.104
1.407 1.027 4.459
1.407 7.223 8.241
1.407 4.648 0.656
4.221 6.213 5.771
4.221 3.638 3.126
4.221 0.018 1.989
4.221 5.704 9.468
4.221 2.084 5.877
1.407 5.157 4.353
1.407 1.536 0.762

PrAsN (PBE, relaxed); symmetry = Cm (8); V = 20.48 Å³/atom; ΔE_f (raw) = -0.4940 eV per atom
1.0
-1.986 3.520 -0.297
-2.722 -3.041 -0.694
-0.940 -1.667 3.671
N Pr As
1 1 1
Cartesian
-4.834 -1.312 2.387
-2.750 -2.525 1.917
-1.897 1.872 0.185

Pr3AsN5 (PBE, relaxed); symmetry = I4/mcm (140); V = 14.80 Å³/atom; ΔE_f (raw) = -0.7302 eV per atom
1.0
5.988 0.000 -3.295
-1.813 5.708 -3.295
0.208 0.284 7.467
N Pr As
10 6 2
Cartesian
-0.417 5.886 1.289
2.548 1.754 -0.411
5.213 3.032 0.337
0.377 4.608 -1.362
4.007 1.384 2.240
-0.829 2.959 0.541
2.088 2.854 -3.295
0.000 0.000 0.000
1.835 4.237 1.289
4.801 0.106 -0.411
1.148 1.569 2.086
0.442 4.697 -3.775
3.734 1.011 -2.814
3.700 3.865 -4.942
3.236 4.423 -1.208
0.475 1.843 -1.647
0.241 4.423 0.439
4.142 1.569 0.439

Pr3As2N (PBE, relaxed); symmetry = C2/c (15); V = 25.18 Å³/atom; ΔE_f (raw) = -1.2862 eV per atom
1.0
6.076 0.000 0.000
0.000 8.023 0.003
-3.038 -2.009 6.197
Pr As N
6 4 2
Cartesian
0.014 4.025 1.807
2.714 2.006 0.001
3.052 6.001 4.394
-0.014 0.013 1.805
3.024 1.989 4.393
3.362 6.017 0.002
0.035 6.022 4.052
-0.035 2.011 4.050
3.073 4.003 2.149
3.004 -0.008 2.148
0.346 2.006 0.001
5.730 6.017 0.002

no.,Fermi-level density of states (states/eV/atom),ρ (g cm⁻³)
1,0.409,7.27
2,0.423,6.11
3,0.718,6.58
4,0.321,6.21
5,0.431,7.08
6,0.167,6.45